Computed, not measured: Dy6ZnRh after structural relaxation at the GGA-PBE level of DFT.

POSCAR file:
```
Dy6ZnRh
1.0
-1.5712 -4.2797 -2.0406
-2.3555 -1.1612 4.2488
-8.9843 1.2016 -1.7162
Rh Dy Zn
1 6 1
direct
0.0000 0.0000 0.0000
0.0992 0.5992 0.8015
0.9008 0.4008 0.1985
0.5990 0.0992 0.8015
0.7481 0.7483 0.5033
0.4010 0.9008 0.1985
0.2519 0.2517 0.4967
0.5000 0.5000 0.0000
```

Computed properties:
energy relative to the elements	-0.271	eV/atom
DFT total energy	-4.80	eV/atom

***

Computed, not measured: Ca5AcGe3 after structural relaxation at the GGA-PBE level of DFT.

POSCAR file:
```
Ca5AcGe3
1.0
-0.4604 -2.0341 -4.5954
-5.8151 -4.1240 5.1791
-9.1291 9.0117 -3.0743
Ge Ac Ca
6 2 10
direct
0.6224 0.2447 0.4302
0.3776 0.7553 0.5698
0.3776 0.7553 0.9302
0.6224 0.2447 0.0698
0.0664 0.1328 0.7500
0.9336 0.8672 0.2500
0.8723 0.7446 0.7500
0.1277 0.2554 0.2500
0.0000 0.0000 0.5000
0.5543 0.1086 0.8655
0.2015 0.4031 0.9179
0.4457 0.8914 0.1345
0.4457 0.8914 0.3655
0.2015 0.4031 0.5821
0.5543 0.1086 0.6345
0.7985 0.5969 0.4179
0.0000 0.0000 0.0000
0.7985 0.5969 0.0821
```

Computed properties:
energy relative to the elements	-0.484	eV/atom
DFT total energy	-3.59	eV/atom

***

Computed, not measured: Mg2TePb2 after structural relaxation at the GGA-PBE level of DFT.

POSCAR file:
```
Mg2TePb2
1.0
-5.7820 6.8496 2.3048
-7.2267 -5.5005 -1.7828
0.0180 -1.0437 3.1471
Pb Te Mg
4 2 4
direct
0.1764 0.3236 0.0000
0.3236 0.8236 0.0000
0.8236 0.6764 0.0000
0.6764 0.1764 0.0000
0.0000 0.0000 0.0000
0.5000 0.5000 0.0000
0.3763 0.1237 0.5000
0.6237 0.8763 0.5000
0.1237 0.6237 0.5000
0.8763 0.3763 0.5000
```

Computed properties:
DFT total energy	-2.77	eV/atom

***

Computed, not measured: Y2CdAu2 after structural relaxation at the GGA-PBE level of DFT.

POSCAR file:
```
Y2CdAu2
1.0
5.5828 0.0000 0.0000
0.0000 5.5828 0.0000
2.7914 2.7914 4.2255
Y Au Cd
2 2 1
direct
0.7500 0.2500 0.5000
0.2500 0.7500 0.5000
0.3477 0.3477 0.3047
0.6523 0.6523 0.6953
0.0000 0.0000 0.0000
```

Computed properties:
energy relative to the elements	-0.480	eV/atom
DFT total energy	-4.56	eV/atom

***

Computed, not measured: Y7Pd2Au2 after structural relaxation at the GGA-PBE level of DFT.

POSCAR file:
```
Y7Pd2Au2
1.0
-4.6358 2.0757 -4.3984
-5.1697 -2.4053 4.3157
1.2417 5.0215 4.2881
Y Au Pd
7 2 2
direct
0.5001 0.2642 0.9999
0.4999 0.7420 0.5001
0.5001 0.2580 0.4999
0.0001 0.2642 0.4999
0.0000 0.0000 0.0000
0.4999 0.7358 0.0001
0.9999 0.7358 0.5001
0.8094 0.5000 0.8094
0.1906 0.5000 0.1906
0.2886 0.0000 0.7114
0.7114 0.0000 0.2886
```

Computed properties:
energy relative to the elements	-0.435	eV/atom
DFT total energy	-6.09	eV/atom

***

Computed, not measured: Tl2MoSe2 after structural relaxation at the GGA-PBE level of DFT.

POSCAR file:
```
Tl2MoSe2
1.0
-2.4693 1.1448 2.9746
-0.6812 -3.8655 0.9222
4.8002 -1.2329 7.1918
Tl Mo Se
2 1 2
direct
0.2500 0.7500 0.5000
0.7500 0.2500 0.5000
0.0000 0.0000 0.0000
0.4174 0.4174 0.1652
0.5826 0.5826 0.8348
```

Computed properties:
DFT total energy	-3.84	eV/atom

***

Computed, not measured: Pm3InAg2 after structural relaxation at the GGA-PBE level of DFT.

POSCAR file:
```
Pm3InAg2
1.0
3.7012 0.0000 0.0000
0.0000 3.7012 0.0000
0.0000 0.0000 11.7347
Pm Ag In
3 2 1
direct
0.0000 0.0000 0.3243
0.0000 0.0000 0.6757
0.0000 0.0000 0.0000
0.5000 0.5000 0.8387
0.5000 0.5000 0.1613
0.5000 0.5000 0.5000
```

Computed properties:
energy relative to the elements	-0.344	eV/atom
DFT total energy	-4.13	eV/atom

***

Computed, not measured: HfGe3Ru after structural relaxation at the GGA-PBE level of DFT.

POSCAR file:
```
HfGe3Ru
1.0
5.0547 0.0000 0.0000
0.0000 5.0547 0.0000
0.0000 0.0000 5.0547
Ru Hf Ge
1 1 3
direct
0.5000 0.5000 0.5000
0.0000 0.0000 0.0000
0.0000 0.5000 0.0000
0.5000 0.0000 0.0000
0.0000 0.0000 0.5000
```

Computed properties:
energy relative to the elements	1.200	eV/atom
DFT total energy	-5.42	eV/atom

***

Computed, not measured: Rb2BiPbBr6 after structural relaxation at the GGA-PBE level of DFT.

POSCAR file:
```
Rb2BiPbBr6
1.0
8.3994 0.0000 0.0000
0.0000 8.3994 0.0000
4.1997 4.1997 5.9709
Br Rb Bi Pb
6 2 1 1
direct
0.2470 0.7530 0.0000
0.7525 0.7525 0.4950
0.7530 0.2470 0.0000
0.2475 0.2475 0.5050
0.7530 0.7530 0.0000
0.2470 0.2470 0.0000
0.2500 0.7500 0.5000
0.7500 0.2500 0.5000
0.0000 0.0000 0.0000
0.5000 0.5000 0.0000
```

Computed properties:
DFT total energy	-3.03	eV/atom

***

Computed, not measured: Cd5Ga12Bi3 after structural relaxation at the GGA-PBE level of DFT.

POSCAR file:
```
Cd5Ga12Bi3
1.0
-7.3360 -3.2120 11.9323
12.3246 -7.3882 -0.1807
2.8535 14.0826 -0.2239
Ga Bi Cd
48 12 20
direct
0.9218 0.0856 0.8621
0.8362 0.9144 0.2766
0.9144 0.0782 0.6379
0.1638 0.0782 0.9403
0.4218 0.0597 0.3362
0.1638 0.0856 0.7234
0.3362 0.7766 0.4144
0.5856 0.8621 0.4218
0.8621 0.2766 0.4403
0.6379 0.0597 0.2234
0.0597 0.6379 0.7234
0.1379 0.4144 0.0782
0.0856 0.9218 0.3621
0.2234 0.6638 0.0856
0.3621 0.4218 0.0856
0.4403 0.7766 0.8621
0.7234 0.1379 0.0597
0.5782 0.6379 0.4144
0.0782 0.1638 0.4403
0.8621 0.5856 0.9218
0.3621 0.9403 0.7766
0.5782 0.9403 0.6638
0.9403 0.3621 0.2766
0.8362 0.9218 0.0597
0.1379 0.7234 0.5597
0.4144 0.1379 0.5782
0.0782 0.9144 0.1379
0.2766 0.4144 0.8362
0.3362 0.5597 0.4218
0.6638 0.4403 0.5782
0.0856 0.1638 0.2234
0.2766 0.8621 0.9403
0.5597 0.2234 0.1379
0.6638 0.2234 0.5856
0.4144 0.2766 0.3362
0.6379 0.5782 0.9144
0.5597 0.3362 0.9218
0.7766 0.4403 0.3621
0.4403 0.6638 0.0782
0.5856 0.7234 0.6638
0.9144 0.8362 0.7766
0.0597 0.4218 0.8362
0.4218 0.3621 0.5856
0.7234 0.5856 0.1638
0.7766 0.3362 0.9144
0.2234 0.5597 0.6379
0.9403 0.5782 0.1638
0.9218 0.8362 0.5597
0.1250 0.2500 0.8750
0.8750 0.7500 0.1250
0.6250 0.2500 0.3750
0.3750 0.6250 0.2500
0.8750 0.1250 0.2500
0.2500 0.1250 0.3750
0.6250 0.3750 0.7500
0.7500 0.3750 0.1250
0.2500 0.6250 0.8750
0.1250 0.8750 0.7500
0.3750 0.7500 0.6250
0.7500 0.8750 0.6250
0.3750 0.2500 0.1250
0.5000 0.0000 0.5000
0.1250 0.7500 0.3750
0.3750 0.1250 0.7500
0.6250 0.7500 0.8750
0.1250 0.3750 0.2500
0.5000 0.0000 0.0000
0.7500 0.6250 0.3750
0.8750 0.2500 0.6250
0.7500 0.1250 0.8750
0.0000 0.5000 0.0000
0.2500 0.3750 0.6250
0.5000 0.5000 0.5000
0.6250 0.8750 0.2500
0.0000 0.0000 0.0000
0.0000 0.5000 0.5000
0.2500 0.8750 0.1250
0.8750 0.6250 0.7500
0.0000 0.0000 0.5000
0.5000 0.5000 0.0000
```

Computed properties:
energy relative to the elements	0.204	eV/atom
DFT total energy	-2.42	eV/atom

***

Computed, not measured: Cs2SbS2 after structural relaxation at the GGA-PBE level of DFT.

POSCAR file:
```
Cs2SbS2
1.0
7.7806 0.0000 0.0000
0.0000 7.7806 0.0000
0.0000 0.0000 5.5445
Cs Sb S
4 2 4
direct
0.6558 0.8442 0.5000
0.1558 0.6558 0.5000
0.3442 0.1558 0.5000
0.8442 0.3442 0.5000
0.5000 0.5000 0.0000
0.0000 0.0000 0.0000
0.3183 0.8183 0.0000
0.8183 0.6817 0.0000
0.1817 0.3183 0.0000
0.6817 0.1817 0.0000
```

Computed properties:
DFT total energy	-3.36	eV/atom

***

Computed, not measured: CrBRu2 after structural relaxation at the GGA-PBE level of DFT.

POSCAR file:
```
CrBRu2
1.0
2.7457 0.0000 0.0000
0.0000 2.7457 0.0000
0.0000 0.0000 6.0145
Ru B Cr
2 1 1
direct
0.0000 0.0000 0.7835
0.0000 0.0000 0.2165
0.5000 0.5000 0.0000
0.5000 0.5000 0.5000
```

Computed properties:
energy relative to the elements	-0.008	eV/atom
DFT total energy	-8.72	eV/atom